[1]
The following is a DFT calculation (GGA-PBE) of ZnSnBr2 after structural relaxation.

Summary:
**Calculated volume**: 27.164 A^3/atom
**N(E_F)**: 0.0 states/eV/cell
**Symmetry**: Fm-3m
**ΔE_f (raw)**: -0.178 eV/atom
**Total energy**: -2.334 eV/atom
**ΔE to the lowest computed polymorph**: 155.4 meV/atom

a = 5.356 Å, b = 5.356 Å, c = 5.356 Å
α = 60.00°, β = 60.00°, γ = 60.00°
Positions (direct):
Br1 0.250 0.250 0.250
Zn1 0.000 0.000 0.000
Sn1 0.500 0.500 0.500
Br2 0.750 0.750 0.750


[2]
The following is a DFT calculation (GGA-PBE) of TlPbSe2 after structural relaxation.

Summary:
**Calculated volume**: 29.244 A^3/atom
**N(E_F)**: 3.3 states/eV/cell
**Symmetry**: Pmmn
**ΔE_f (raw)**: -0.399 eV/atom
**Total energy**: -3.660 eV/atom

a = 4.393 Å, b = 6.004 Å, c = 8.870 Å
α = 90.00°, β = 90.00°, γ = 90.00°
Positions (direct):
Se1 0.500 0.500 0.629
Pb1 0.000 0.500 0.875
Se2 0.000 0.000 0.371
Tl1 0.000 0.500 0.373
Se3 0.500 0.500 0.120
Se4 0.000 0.000 0.880
Tl2 0.500 0.000 0.627
Pb2 0.500 0.000 0.125


[3]
The following is a DFT calculation (GGA-PBE) of UAlCuAu after structural relaxation.

Summary:
**Calculated volume**: 18.921 A^3/atom
**N(E_F)**: 7.3 states/eV/cell
**Symmetry**: F-43m
**Formation energy**: -66 meV per atom
**Total energy**: -5.667 eV/atom

a = 4.748 Å, b = 4.748 Å, c = 4.748 Å
α = 60.00°, β = 60.00°, γ = 60.00°
Positions (direct):
Au1 0.750 0.750 0.750
Al1 0.500 0.500 0.500
U1 0.000 0.000 0.000
Cu1 0.250 0.250 0.250


[4]
The following is a DFT calculation (GGA-PBE) of LiY2Ru after structural relaxation.

Summary:
**Calculated volume**: 22.514 A^3/atom
**N(E_F)**: 2.4 states/eV/cell
**Symmetry**: Pmm2
**Formation energy**: 80 meV per atom
**Total energy**: -5.950 eV/atom
**ΔE to the lowest computed polymorph**: 345.2 meV/atom

a = 3.474 Å, b = 4.329 Å, c = 5.989 Å
α = 90.00°, β = 90.00°, γ = 90.00°
Positions (direct):
Y1 0.000 0.000 0.929
Li1 0.000 0.000 0.492
Ru1 0.500 0.500 0.794
Y2 0.500 0.500 0.286


[5]
The following is a DFT calculation (GGA-PBE) of BaWAu2 after structural relaxation.

Summary:
**Calculated volume**: 27.123 A^3/atom
**N(E_F)**: 3.4 states/eV/cell
**Symmetry**: C2/m
**Formation energy**: 226 meV per atom
**Total energy**: -5.131 eV/atom
**ΔE to the lowest computed polymorph**: 0.0 meV/atom

a = 4.599 Å, b = 4.599 Å, c = 6.495 Å
α = 69.21°, β = 69.21°, γ = 60.00°
Positions (direct):
W1 0.750 0.750 0.750
Au1 0.447 0.447 0.660
Ba1 0.250 0.250 0.250
Au2 0.053 0.053 0.840


[6]
The following is a DFT calculation (GGA-PBE) of CaAs2IO after structural relaxation.

Summary:
**Calculated volume**: 24.016 A^3/atom
**N(E_F)**: 3.2 states/eV/cell
**Symmetry**: P4/mmm
**ΔE_f (raw)**: -0.386 eV/atom
**Total energy**: -3.947 eV/atom

a = 4.280 Å, b = 6.556 Å, c = 4.280 Å
α = 90.00°, β = 90.00°, γ = 90.00°
Positions (direct):
O1 0.000 0.000 0.000
I1 0.000 0.500 0.000
Ca1 0.500 0.500 0.500
As1 0.500 0.000 0.000
As2 0.000 0.000 0.500


[7]
The following is a DFT calculation (GGA-PBE) of RbBe2OsPt after structural relaxation.

Summary:
**Calculated volume**: 18.191 A^3/atom
**N(E_F)**: 5.2 states/eV/cell
**Symmetry**: P4/mmm
**Formation energy**: 3065 meV per atom
**Total energy**: -2.073 eV/atom

a = 4.401 Å, b = 4.696 Å, c = 4.401 Å
α = 90.00°, β = 90.00°, γ = 90.00°
Positions (direct):
Os1 0.000 0.500 0.000
Rb1 0.000 0.000 0.000
Be1 0.500 0.000 0.000
Be2 0.000 0.000 0.500
Pt1 0.500 0.500 0.500


[8]
The following is a DFT calculation (GGA-PBE) of BeCd2Pb after structural relaxation.

Summary:
**Calculated volume**: 22.082 A^3/atom
**N(E_F)**: 1.6 states/eV/cell
**Symmetry**: I-4m2
**Formation energy**: 469 meV per atom
**Total energy**: -1.847 eV/atom
**ΔE to the lowest computed polymorph**: 167.3 meV/atom

a = 5.394 Å, b = 5.394 Å, c = 5.394 Å
α = 130.63°, β = 130.63°, γ = 72.40°
Positions (direct):
Cd1 0.000 0.000 0.000
Cd2 0.250 0.750 0.500
Pb1 0.500 0.500 0.000
Be1 0.750 0.250 0.500


[9]
The following is a DFT calculation (GGA-PBE) of LiMn2Al after structural relaxation.

Summary:
**Calculated volume**: 13.868 A^3/atom
**N(E_F)**: 2.8 states/eV/cell
**Symmetry**: Pmm2
**Formation energy**: 130 meV per atom
**Total energy**: -5.868 eV/atom

a = 2.701 Å, b = 3.759 Å, c = 5.463 Å
α = 90.00°, β = 90.00°, γ = 90.00°
Positions (direct):
Al1 0.000 0.000 0.484
Mn1 0.500 0.500 0.255
Li1 0.500 0.500 0.754
Mn2 0.000 0.000 0.007


[10]
The following is a DFT calculation (GGA-PBE) of Na2PuCr2S6 after structural relaxation.

Summary:
**Calculated volume**: 21.030 A^3/atom
**N(E_F)**: 8.6 states/eV/cell
**Symmetry**: C2/m
**ΔE_f (raw)**: -1.092 eV/atom
**Total energy**: -6.636 eV/atom

a = 6.305 Å, b = 6.305 Å, c = 7.073 Å
α = 98.09°, β = 98.09°, γ = 120.86°
Positions (direct):
S1 0.573 0.938 0.297
S2 0.062 0.427 0.703
S3 0.427 0.062 0.703
Cr1 0.667 0.333 0.500
Cr2 0.333 0.667 0.500
Na1 0.839 0.161 0.000
Na2 0.161 0.839 0.000
S4 0.938 0.573 0.297
Pu1 0.000 0.000 0.500
S5 0.702 0.702 0.705
S6 0.298 0.298 0.295


[11]
The following is a DFT calculation (GGA-PBE) of RbSiSb after structural relaxation.

Summary:
**Calculated volume**: 41.863 A^3/atom
**N(E_F)**: 1.5 states/eV/cell
**Symmetry**: Cm
**ΔE_f (raw)**: -0.104 eV/atom
**Total energy**: -3.608 eV/atom

a = 5.107 Å, b = 16.283 Å, c = 7.671 Å
α = 90.00°, β = 128.04°, γ = 90.00°
Positions (direct):
Rb1 0.921 0.139 0.766
Sb1 0.923 0.374 0.767
Si1 0.558 0.000 0.188
Rb2 0.921 0.861 0.766
Si2 0.285 0.000 0.342
Rb3 0.921 0.639 0.266
Si3 0.558 0.500 0.688
Rb4 0.921 0.361 0.266
Sb2 0.923 0.626 0.767
Sb3 0.923 0.126 0.267
Si4 0.285 0.500 0.842
Sb4 0.923 0.874 0.267


[12]
The following is a DFT calculation (GGA-PBE) of TbMn2Si3 after structural relaxation.

Summary:
**Calculated volume**: 14.969 A^3/atom
**N(E_F)**: 7.3 states/eV/cell
**Symmetry**: Cmcm
**ΔE_f (raw)**: -0.528 eV/atom
**Total energy**: -7.068 eV/atom

a = 5.122 Å, b = 6.014 Å, c = 6.014 Å
α = 104.20°, β = 90.00°, γ = 90.00°
Positions (direct):
Tb1 0.750 0.665 0.665
Si1 0.750 0.098 0.467
Mn1 0.500 0.203 0.797
Mn2 0.000 0.797 0.203
Si2 0.250 0.937 0.937
Si3 0.750 0.467 0.098
Si4 0.250 0.533 0.902
Si5 0.250 0.902 0.533
Tb2 0.250 0.335 0.335
Mn3 0.500 0.797 0.203
Mn4 0.000 0.203 0.797
Si6 0.750 0.063 0.063